Record 1
# PBE-GGA CaGa2SbO6, optimized geometry
data_CaGa2SbO6
_chemical_formula_sum 'Ca2 Ga4 Sb2 O12'
_space_group_name_H-M_alt 'P 1'
_space_group_IT_number 1
_space_group_name_Hall 'P 1'
_cell_length_a 6.962
_cell_length_b 6.962
_cell_length_c 5.621
_cell_angle_alpha 97.08
_cell_angle_beta 97.08
_cell_angle_gamma 88.40
loop_
_atom_site_label
_atom_site_fract_x
_atom_site_fract_y
_atom_site_fract_z
Ca1 0.092 0.908 0.750
Ca2 0.908 0.092 0.250
Ga1 0.213 0.396 0.717
Ga2 0.396 0.213 0.217
Ga3 0.604 0.787 0.783
Ga4 0.787 0.604 0.283
Sb1 0.282 0.718 0.250
Sb2 0.718 0.282 0.750
O1 0.000 0.229 0.649
O2 0.000 0.771 0.351
O3 0.156 0.621 0.903
O4 0.229 0.000 0.149
O5 0.277 0.422 0.400
O6 0.379 0.844 0.597
O7 0.422 0.277 0.900
O8 0.578 0.723 0.100
O9 0.621 0.156 0.403
O10 0.723 0.578 0.600
O11 0.771 0.000 0.851
O12 0.844 0.379 0.097
# Calculated density = 4.918 g/cm³
# Volume = 13.41 Å³/atom
# Final energy = -60.9 eV per formula unit
# Size of the total moment = 0.000 μB per atom
# Fermi-level density of states = 6.06 states/eV/cell
# Formation energy from raw total energies = -1.8967 eV per atom

Record 2
# PBE-GGA CaScGaO4, optimized geometry
data_CaScGaO4
_chemical_formula_sum 'Ca2 Sc2 Ga2 O8'
_space_group_name_H-M_alt 'P 1'
_space_group_IT_number 1
_space_group_name_Hall 'P 1'
_cell_length_a 6.306
_cell_length_b 6.306
_cell_length_c 6.306
_cell_angle_alpha 121.17
_cell_angle_beta 119.19
_cell_angle_gamma 89.69
loop_
_atom_site_label
_atom_site_fract_x
_atom_site_fract_y
_atom_site_fract_z
Ca1 0.500 0.000 0.000
Ca2 0.500 0.500 0.500
Sc1 0.000 0.000 0.000
Sc2 0.500 0.000 0.500
Ga1 0.113 0.363 0.750
Ga2 0.887 0.637 0.250
O1 0.224 0.237 0.988
O2 0.242 0.233 0.491
O3 0.242 0.751 0.009
O4 0.251 0.763 0.488
O5 0.749 0.237 0.512
O6 0.758 0.249 0.991
O7 0.758 0.767 0.509
O8 0.776 0.763 0.012
# Calculated density = 4.109 g/cm³
# Volume = 12.63 Å³/atom
# Final energy = -50.1 eV per formula unit
# Size of the total moment = 0.000 μB per atom
# Fermi-level density of states = 0.00 states/eV/cell
# Formation energy from raw total energies = -2.6976 eV per atom

Record 3
# PBE-GGA Ca2ScGaO, optimized geometry
data_Ca2ScGaO
_chemical_formula_sum 'Ca2 Sc1 Ga1 O1'
_space_group_name_H-M_alt 'P 1'
_space_group_IT_number 1
_space_group_name_Hall 'P 1'
_cell_length_a 4.731
_cell_length_b 4.731
_cell_length_c 4.484
_cell_angle_alpha 90.00
_cell_angle_beta 90.00
_cell_angle_gamma 90.00
loop_
_atom_site_label
_atom_site_fract_x
_atom_site_fract_y
_atom_site_fract_z
Ca1 0.000 0.500 0.000
Ca2 0.500 0.000 0.000
Sc1 0.000 0.000 0.500
Ga1 0.500 0.500 0.500
O1 0.000 0.000 0.000
# Calculated density = 3.488 g/cm³
# Volume = 20.07 Å³/atom
# Final energy = -25.1 eV per formula unit
# Size of the total moment = 0.000 μB per atom
# Fermi-level density of states = 2.10 states/eV/cell
# Formation energy from raw total energies = -1.3651 eV per atom

Record 4
# PBE-GGA CaSc2GaO, optimized geometry
data_CaSc2GaO
_chemical_formula_sum 'Ca1 Sc2 Ga1 O1'
_space_group_name_H-M_alt 'P 1'
_space_group_IT_number 1
_space_group_name_Hall 'P 1'
_cell_length_a 4.425
_cell_length_b 4.425
_cell_length_c 4.646
_cell_angle_alpha 90.00
_cell_angle_beta 90.00
_cell_angle_gamma 90.00
loop_
_atom_site_label
_atom_site_fract_x
_atom_site_fract_y
_atom_site_fract_z
Ca1 0.000 0.000 0.000
Sc1 0.000 0.500 0.500
Sc2 0.500 0.000 0.500
Ga1 0.500 0.500 0.000
O1 0.000 0.000 0.500
# Calculated density = 3.938 g/cm³
# Volume = 18.19 Å³/atom
# Final energy = -29.7 eV per formula unit
# Size of the total moment = 0.000 μB per atom
# Fermi-level density of states = 1.99 states/eV/cell
# Formation energy from raw total energies = -1.4140 eV per atom

Record 5
# PBE-GGA CaGaSeO5, optimized geometry
data_CaGaSeO5
_chemical_formula_sum 'Ca2 Ga2 Se2 O10'
_space_group_name_H-M_alt 'P 1'
_space_group_IT_number 1
_space_group_name_Hall 'P 1'
_cell_length_a 5.659
_cell_length_b 5.659
_cell_length_c 7.270
_cell_angle_alpha 105.81
_cell_angle_beta 105.81
_cell_angle_gamma 101.92
loop_
_atom_site_label
_atom_site_fract_x
_atom_site_fract_y
_atom_site_fract_z
Ca1 0.179 0.821 0.750
Ca2 0.821 0.179 0.250
Ga1 0.500 0.500 0.000
Ga2 0.500 0.500 0.500
Se1 0.201 0.799 0.250
Se2 0.799 0.201 0.750
O1 0.103 0.250 0.917
O2 0.157 0.594 0.411
O3 0.250 0.103 0.417
O4 0.406 0.843 0.089
O5 0.444 0.556 0.750
O6 0.556 0.444 0.250
O7 0.594 0.157 0.911
O8 0.750 0.897 0.583
O9 0.843 0.406 0.589
O10 0.897 0.750 0.083
# Calculated density = 4.347 g/cm³
# Volume = 12.83 Å³/atom
# Final energy = -45.6 eV per formula unit
# Size of the total moment = 0.000 μB per atom
# Fermi-level density of states = 4.33 states/eV/cell
# Formation energy from raw total energies = -1.5351 eV per atom

Record 6
# PBE-GGA CaGa2SiO6, optimized geometry
data_CaGa2SiO6
_chemical_formula_sum 'Ca2 Ga4 Si2 O12'
_space_group_name_H-M_alt 'P 1'
_space_group_IT_number 1
_space_group_name_Hall 'P 1'
_cell_length_a 7.076
_cell_length_b 7.076
_cell_length_c 6.156
_cell_angle_alpha 111.44
_cell_angle_beta 111.44
_cell_angle_gamma 79.68
loop_
_atom_site_label
_atom_site_fract_x
_atom_site_fract_y
_atom_site_fract_z
Ca1 0.197 0.803 0.750
Ca2 0.803 0.197 0.250
Ga1 0.239 0.359 0.836
Ga2 0.359 0.239 0.336
Ga3 0.641 0.761 0.664
Ga4 0.761 0.641 0.164
Si1 0.182 0.818 0.250
Si2 0.818 0.182 0.750
O1 0.021 0.186 0.681
O2 0.177 0.631 0.997
O3 0.186 0.021 0.181
O4 0.254 0.419 0.571
O5 0.369 0.823 0.503
O6 0.419 0.254 0.071
O7 0.581 0.746 0.929
O8 0.631 0.177 0.497
O9 0.746 0.581 0.429
O10 0.814 0.979 0.819
O11 0.823 0.369 0.003
O12 0.979 0.814 0.319
# Calculated density = 3.781 g/cm³
# Volume = 13.33 Å³/atom
# Final energy = -67.1 eV per formula unit
# Size of the total moment = 0.000 μB per atom
# Fermi-level density of states = 0.00 states/eV/cell
# Formation energy from raw total energies = -2.3902 eV per atom

Record 7
# PBE-GGA Ca2GaSi2O7, optimized geometry
data_Ca2GaSi2O7
_chemical_formula_sum 'Ca4 Ga2 Si4 O14'
_space_group_name_H-M_alt 'P 1'
_space_group_IT_number 1
_space_group_name_Hall 'P 1'
_cell_length_a 8.009
_cell_length_b 8.009
_cell_length_c 5.122
_cell_angle_alpha 90.00
_cell_angle_beta 90.00
_cell_angle_gamma 90.00
loop_
_atom_site_label
_atom_site_fract_x
_atom_site_fract_y
_atom_site_fract_z
Ca1 0.173 0.327 0.492
Ca2 0.327 0.827 0.508
Ca3 0.673 0.173 0.508
Ca4 0.827 0.673 0.492
Ga1 0.000 0.000 0.000
Ga2 0.500 0.500 0.000
Si1 0.140 0.640 0.069
Si2 0.360 0.140 0.931
Si3 0.640 0.860 0.931
Si4 0.860 0.360 0.069
O1 0.000 0.500 0.182
O2 0.081 0.811 0.227
O3 0.145 0.645 0.755
O4 0.189 0.081 0.773
O5 0.311 0.581 0.227
O6 0.355 0.145 0.245
O7 0.419 0.311 0.773
O8 0.500 0.000 0.818
O9 0.581 0.689 0.773
O10 0.645 0.855 0.245
O11 0.689 0.419 0.227
O12 0.811 0.919 0.773
O13 0.855 0.355 0.755
O14 0.919 0.189 0.227
# Calculated density = 3.215 g/cm³
# Volume = 13.69 Å³/atom
# Final energy = -84.0 eV per formula unit
# Size of the total moment = 0.000 μB per atom
# Fermi-level density of states = 2.10 states/eV/cell
# Formation energy from raw total energies = -2.6151 eV per atom

Record 8
# PBE-GGA CaGaSi2O6, optimized geometry
data_CaGaSi2O6
_chemical_formula_sum 'Ca2 Ga2 Si4 O12'
_space_group_name_H-M_alt 'P 1'
_space_group_IT_number 1
_space_group_name_Hall 'P 1'
_cell_length_a 7.064
_cell_length_b 7.064
_cell_length_c 5.554
_cell_angle_alpha 103.69
_cell_angle_beta 103.69
_cell_angle_gamma 86.10
loop_
_atom_site_label
_atom_site_fract_x
_atom_site_fract_y
_atom_site_fract_z
Ca1 0.109 0.891 0.750
Ca2 0.891 0.109 0.250
Ga1 0.261 0.739 0.250
Ga2 0.739 0.261 0.750
Si1 0.201 0.372 0.785
Si2 0.372 0.201 0.285
Si3 0.628 0.799 0.715
Si4 0.799 0.628 0.215
O1 0.014 0.221 0.681
O2 0.144 0.601 0.869
O3 0.221 0.014 0.181
O4 0.305 0.341 0.538
O5 0.341 0.305 0.038
O6 0.399 0.856 0.631
O7 0.601 0.144 0.369
O8 0.659 0.695 0.962
O9 0.695 0.659 0.462
O10 0.779 0.986 0.819
O11 0.856 0.399 0.131
O12 0.986 0.779 0.319
# Calculated density = 3.326 g/cm³
# Volume = 13.08 Å³/atom
# Final energy = -70.5 eV per formula unit
# Size of the total moment = 0.095 μB per atom
# Fermi-level density of states = 4.26 states/eV/cell
# Formation energy from raw total energies = -2.4910 eV per atom

Record 9
# PBE-GGA Ca3Ga2Si3O12, optimized geometry
data_Ca3Ga2Si3O12
_chemical_formula_sum 'Ca12 Ga8 Si12 O48'
_space_group_name_H-M_alt 'P 1'
_space_group_IT_number 1
_space_group_name_Hall 'P 1'
_cell_length_a 10.498
_cell_length_b 10.498
_cell_length_c 10.498
_cell_angle_alpha 109.47
_cell_angle_beta 109.47
_cell_angle_gamma 109.47
loop_
_atom_site_label
_atom_site_fract_x
_atom_site_fract_y
_atom_site_fract_z
Ca1 0.125 0.250 0.375
Ca2 0.125 0.375 0.750
Ca3 0.250 0.375 0.125
Ca4 0.250 0.875 0.625
Ca5 0.375 0.125 0.250
Ca6 0.375 0.750 0.125
Ca7 0.625 0.250 0.875
Ca8 0.625 0.875 0.750
Ca9 0.750 0.125 0.375
Ca10 0.750 0.625 0.875
Ca11 0.875 0.625 0.250
Ca12 0.875 0.750 0.625
Ga1 0.000 0.000 0.000
Ga2 0.000 0.000 0.500
Ga3 0.000 0.500 0.000
Ga4 0.000 0.500 0.500
Ga5 0.500 0.000 0.000
Ga6 0.500 0.000 0.500
Ga7 0.500 0.500 0.000
Ga8 0.500 0.500 0.500
Si1 0.125 0.750 0.875
Si2 0.125 0.875 0.250
Si3 0.250 0.125 0.875
Si4 0.250 0.625 0.375
Si5 0.375 0.250 0.625
Si6 0.375 0.625 0.750
Si7 0.625 0.375 0.250
Si8 0.625 0.750 0.375
Si9 0.750 0.375 0.625
Si10 0.750 0.875 0.125
Si11 0.875 0.125 0.750
Si12 0.875 0.250 0.125
O1 0.009 0.202 0.116
O2 0.009 0.307 0.893
O3 0.086 0.702 0.693
O4 0.086 0.884 0.393
O5 0.107 0.616 0.414
O6 0.107 0.991 0.693
O7 0.116 0.009 0.202
O8 0.116 0.607 0.914
O9 0.193 0.202 0.586
O10 0.193 0.491 0.607
O11 0.202 0.116 0.009
O12 0.202 0.586 0.193
O13 0.298 0.307 0.914
O14 0.298 0.491 0.384
O15 0.307 0.893 0.009
O16 0.307 0.914 0.298
O17 0.384 0.298 0.491
O18 0.384 0.586 0.893
O19 0.393 0.086 0.884
O20 0.393 0.807 0.509
O21 0.414 0.107 0.616
O22 0.414 0.807 0.798
O23 0.491 0.384 0.298
O24 0.491 0.607 0.193
O25 0.509 0.393 0.807
O26 0.509 0.616 0.702
O27 0.586 0.193 0.202
O28 0.586 0.893 0.384
O29 0.607 0.193 0.491
O30 0.607 0.914 0.116
O31 0.616 0.414 0.107
O32 0.616 0.702 0.509
O33 0.693 0.086 0.702
O34 0.693 0.107 0.991
O35 0.702 0.509 0.616
O36 0.702 0.693 0.086
O37 0.798 0.414 0.807
O38 0.798 0.884 0.991
O39 0.807 0.509 0.393
O40 0.807 0.798 0.414
O41 0.884 0.393 0.086
O42 0.884 0.991 0.798
O43 0.893 0.009 0.307
O44 0.893 0.384 0.586
O45 0.914 0.116 0.607
O46 0.914 0.298 0.307
O47 0.991 0.693 0.107
O48 0.991 0.798 0.884
# Calculated density = 3.997 g/cm³
# Volume = 11.13 Å³/atom
# Final energy = -142.3 eV per formula unit
# Size of the total moment = 0.000 μB per atom
# Fermi-level density of states = 0.00 states/eV/cell
# Formation energy from raw total energies = -2.7229 eV per atom

Record 10
# PBE-GGA Ca2SmGaO, optimized geometry
data_Ca2SmGaO
_chemical_formula_sum 'Ca2 Sm1 Ga1 O1'
_space_group_name_H-M_alt 'P 1'
_space_group_IT_number 1
_space_group_name_Hall 'P 1'
_cell_length_a 4.738
_cell_length_b 4.738
_cell_length_c 4.936
_cell_angle_alpha 90.00
_cell_angle_beta 90.00
_cell_angle_gamma 90.00
loop_
_atom_site_label
_atom_site_fract_x
_atom_site_fract_y
_atom_site_fract_z
Ca1 0.000 0.500 0.000
Ca2 0.500 0.000 0.000
Sm1 0.000 0.000 0.500
Ga1 0.500 0.500 0.500
O1 0.000 0.000 0.000
# Calculated density = 4.738 g/cm³
# Volume = 22.17 Å³/atom
# Final energy = -23.7 eV per formula unit
# Size of the total moment = 0.000 μB per atom
# Fermi-level density of states = 1.23 states/eV/cell
# Formation energy from raw total energies = -1.3945 eV per atom

Record 11
# PBE-GGA CaSmGaO4, optimized geometry
data_CaSmGaO4
_chemical_formula_sum 'Ca2 Sm2 Ga2 O8'
_space_group_name_H-M_alt 'P 1'
_space_group_IT_number 1
_space_group_name_Hall 'P 1'
_cell_length_a 6.560
_cell_length_b 6.560
_cell_length_c 6.560
_cell_angle_alpha 121.47
_cell_angle_beta 118.34
_cell_angle_gamma 90.19
loop_
_atom_site_label
_atom_site_fract_x
_atom_site_fract_y
_atom_site_fract_z
Ca1 0.500 0.000 0.000
Ca2 0.500 0.500 0.500
Sm1 0.000 0.000 0.000
Sm2 0.500 0.000 0.500
Ga1 0.120 0.370 0.750
Ga2 0.880 0.630 0.250
O1 0.235 0.747 0.488
O2 0.241 0.253 0.988
O3 0.245 0.250 0.505
O4 0.245 0.740 0.995
O5 0.755 0.260 0.005
O6 0.755 0.750 0.495
O7 0.759 0.747 0.012
O8 0.765 0.253 0.512
# Calculated density = 5.391 g/cm³
# Volume = 14.27 Å³/atom
# Final energy = -47.8 eV per formula unit
# Size of the total moment = 0.000 μB per atom
# Fermi-level density of states = 0.00 states/eV/cell
# Formation energy from raw total energies = -2.5963 eV per atom

Record 12
# PBE-GGA Ca3Ga2Sn3O12, optimized geometry
data_Ca3Ga2Sn3O12
_chemical_formula_sum 'Ca12 Ga8 Sn12 O48'
_space_group_name_H-M_alt 'P 1'
_space_group_IT_number 1
_space_group_name_Hall 'P 1'
_cell_length_a 11.149
_cell_length_b 11.149
_cell_length_c 11.149
_cell_angle_alpha 109.76
_cell_angle_beta 109.76
_cell_angle_gamma 108.90
loop_
_atom_site_label
_atom_site_fract_x
_atom_site_fract_y
_atom_site_fract_z
Ca1 0.122 0.250 0.372
Ca2 0.125 0.375 0.750
Ca3 0.250 0.378 0.128
Ca4 0.250 0.878 0.628
Ca5 0.375 0.125 0.250
Ca6 0.378 0.750 0.128
Ca7 0.622 0.250 0.872
Ca8 0.625 0.875 0.750
Ca9 0.750 0.122 0.372
Ca10 0.750 0.622 0.872
Ca11 0.875 0.625 0.250
Ca12 0.878 0.750 0.628
Ga1 0.127 0.750 0.877
Ga2 0.250 0.127 0.877
Ga3 0.250 0.627 0.377
Ga4 0.373 0.250 0.623
Ga5 0.627 0.750 0.377
Ga6 0.750 0.373 0.623
Ga7 0.750 0.873 0.123
Ga8 0.873 0.250 0.123
Sn1 0.000 0.000 0.000
Sn2 0.000 0.000 0.500
Sn3 0.000 0.500 0.000
Sn4 0.000 0.500 0.500
Sn5 0.125 0.875 0.250
Sn6 0.375 0.625 0.750
Sn7 0.500 0.000 0.000
Sn8 0.500 0.000 0.500
Sn9 0.500 0.500 0.000
Sn10 0.500 0.500 0.500
Sn11 0.625 0.375 0.250
Sn12 0.875 0.125 0.750
O1 0.018 0.202 0.116
O2 0.035 0.325 0.906
O3 0.081 0.871 0.406
O4 0.086 0.702 0.684
O5 0.098 0.982 0.684
O6 0.102 0.623 0.423
O7 0.123 0.602 0.923
O8 0.129 0.035 0.210
O9 0.175 0.465 0.594
O10 0.179 0.200 0.577
O11 0.200 0.123 0.021
O12 0.202 0.586 0.184
O13 0.298 0.482 0.384
O14 0.300 0.321 0.923
O15 0.321 0.898 0.021
O16 0.325 0.919 0.290
O17 0.371 0.581 0.906
O18 0.377 0.300 0.479
O19 0.398 0.821 0.521
O20 0.402 0.086 0.884
O21 0.414 0.098 0.616
O22 0.419 0.825 0.790
O23 0.465 0.371 0.290
O24 0.482 0.598 0.184
O25 0.518 0.402 0.816
O26 0.535 0.629 0.710
O27 0.581 0.175 0.210
O28 0.586 0.902 0.384
O29 0.598 0.914 0.116
O30 0.602 0.179 0.479
O31 0.623 0.700 0.521
O32 0.629 0.419 0.094
O33 0.675 0.081 0.710
O34 0.679 0.102 0.979
O35 0.700 0.679 0.077
O36 0.702 0.518 0.616
O37 0.798 0.414 0.816
O38 0.800 0.877 0.979
O39 0.821 0.800 0.423
O40 0.825 0.535 0.406
O41 0.871 0.965 0.790
O42 0.877 0.398 0.077
O43 0.898 0.377 0.577
O44 0.902 0.018 0.316
O45 0.914 0.298 0.316
O46 0.919 0.129 0.594
O47 0.965 0.675 0.094
O48 0.982 0.798 0.884
# Calculated density = 5.029 g/cm³
# Volume = 13.34 Å³/atom
# Final energy = -126.9 eV per formula unit
# Relative energy among the computed polymorphs = 0.00 eV/f.u.
# Size of the total moment = 0.000 μB per atom
# Fermi-level density of states = 0.00 states/eV/cell
# Formation energy from raw total energies = -2.1681 eV per atom

> What is the calculated density in the eleventh record?

5.391 g/cm³

> Which of these has the highest volume?

Ca2SmGaO